1.
Below is a relaxed structure of K2SmBiS4, with properties calculated at the PBE-GGA level.

```
K2SmBiS4
1.0
-3.789 -0.164 1.690
0.451 -7.184 0.316
2.839 2.864 6.643
K Bi Sm S
2 1 1 4
direct
0.500 0.000 0.500 K
0.000 0.500 0.500 K
0.000 0.000 0.000 Bi
0.500 0.500 0.000 Sm
0.000 0.733 0.206 S
0.000 0.267 0.794 S
0.500 0.760 0.791 S
0.500 0.240 0.209 S
```

The total magnetic moment is 0.000 μB per atom. The raw total energy is -38.0 eV per formula unit. The value obtained for the uncorrected formation energy is -1.34 eV per atom.

***

2.
Below is a relaxed structure of K3Sm2BiS6, with properties calculated at the PBE-GGA level.

```
K3Sm2BiS6
1.0
7.193 -0.001 0.001
-3.595 6.229 0.001
-1.199 -2.076 7.387
Sm S K Bi
2 6 3 1
direct
0.667 0.333 0.000 Sm
0.333 0.667 0.000 Sm
0.069 0.406 0.207 S
0.594 0.931 0.793 S
0.406 0.069 0.207 S
0.732 0.732 0.207 S
0.268 0.268 0.793 S
0.931 0.594 0.793 S
0.835 0.165 0.500 K
0.500 0.500 0.500 K
0.165 0.835 0.500 K
0.000 0.000 0.000 Bi
```

The total magnetic moment is 0.000 μB per atom. The raw total energy is -59.6 eV per formula unit. The value obtained for the uncorrected formation energy is -1.51 eV per atom.

***

3.
Below is a relaxed structure of K3SmBi2S6, with properties calculated at the PBE-GGA level.

```
K3SmBi2S6
1.0
7.202 -0.001 0.001
-3.600 6.238 0.001
-1.201 -2.079 7.404
Bi S K Sm
2 6 3 1
direct
0.334 0.666 0.000 Bi
0.666 0.334 0.000 Bi
0.400 0.069 0.208 S
0.931 0.600 0.792 S
0.739 0.739 0.209 S
0.069 0.400 0.208 S
0.261 0.261 0.791 S
0.600 0.931 0.792 S
0.500 0.500 0.500 K
0.169 0.831 0.500 K
0.831 0.169 0.500 K
0.000 0.000 0.000 Sm
```

The total magnetic moment is 0.000 μB per atom. The raw total energy is -54.5 eV per formula unit. The value obtained for the uncorrected formation energy is -1.16 eV per atom.

***

4.
Below is a relaxed structure of K3SnBi2S6, with properties calculated at the PBE-GGA level.

```
K3SnBi2S6
1.0
7.132 -0.001 0.000
-3.565 6.177 0.000
-1.189 -2.059 7.448
Bi S K Sn
2 6 3 1
direct
0.334 0.666 0.000 Bi
0.666 0.334 0.000 Bi
0.256 0.256 0.791 S
0.744 0.744 0.209 S
0.070 0.395 0.208 S
0.605 0.930 0.792 S
0.395 0.070 0.208 S
0.930 0.605 0.792 S
0.168 0.832 0.500 K
0.500 0.500 0.500 K
0.832 0.168 0.500 K
0.000 0.000 0.000 Sn
```

The total magnetic moment is 0.000 μB per atom. The raw total energy is -49.0 eV per formula unit. The value obtained for the uncorrected formation energy is -0.76 eV per atom.

***

DOS(E_F) across the listed records, respectively: 0.00; 0.00; 0.00; 6.02 states/eV/f.u..